An optimized crystal structure of Na12AlCd6, computed with PBE.

Unit cell a=8.132 b=8.132 c=8.132 alpha=87.44 beta=87.44 gamma=87.44
Fractional positions:
Na  0.474  0.194  0.570
Na  0.194  0.570  0.474
Na  0.570  0.474  0.194
Na  0.526  0.806  0.430
Na  0.806  0.430  0.526
Na  0.430  0.526  0.806
Na  0.849  0.971  0.624
Na  0.376  0.151  0.029
Na  0.029  0.376  0.151
Na  0.151  0.029  0.376
Na  0.624  0.849  0.971
Na  0.971  0.624  0.849
Al  0.000  0.000  0.000
Cd  0.106  0.251  0.742
Cd  0.749  0.258  0.894
Cd  0.258  0.894  0.749
Cd  0.894  0.749  0.258
Cd  0.251  0.742  0.106
Cd  0.742  0.106  0.251

* total magnetization: 0.0 μB/f.u.
* ΔH_f (0 K): -0.04 eV per atom